# PmMgIn3

PmMgIn3 after structural relaxation (PBE, Alexandria via LeMat-Bulk).

The structure belongs to space group Cmcm (No. 63); the cell edges are 3.585, 29.284 and 4.899 Å and the angles 90.00°, 90.00° and 90.00°. The distinct sites, in fractional coordinates, are Pm at (0.000, 0.077, 0.250), Mg at (0.000, 0.216, 0.750), In at (0.000, 0.316, 0.750), In at (0.000, 0.373, 0.250) and In at (0.000, 0.474, 0.250).

Its density of states at the Fermi level is 8.23 states/eV per cell. The calculation puts the total moment at 0.00 μB/atom. As for the formation energy: -1.4 eV/f.u.